Computed, not measured: a relaxed DyHf2O3 crystal at the PBE level of DFT.

Cell lengths 3.2807, 3.2807, 7.9160 Å; angles 90.00, 90.00, 120.00 degrees
Fractional coordinates of all 6 atoms:
Hf  0.6667  0.3333  0.1556
Hf  0.3333  0.6667  0.8444
Dy  0.0000  0.0000  0.5000
O  0.3333  0.6667  0.3073
O  0.0000  0.0000  0.0000
O  0.6667  0.3333  0.6927

Size of the total moment   0.0 μB per formula unit
E   -8.855 eV per atom
SG   P-3m1

---

Computed, not measured: a relaxed Gd3GaC crystal at the PBE level of DFT.

Cell lengths 4.9152, 4.9152, 4.9152 Å; angles 90.00, 90.00, 90.00 degrees
Fractional coordinates of all 5 atoms:
C  0.5000  0.5000  0.5000
Ga  0.0000  0.0000  0.0000
Gd  0.5000  0.5000  0.0000
Gd  0.5000  0.0000  0.5000
Gd  0.0000  0.5000  0.5000

Size of the total moment   0.0 μB per formula unit
E   -5.637 eV per atom
SG   Pm-3m